(1)
Computed, not measured: crystalline CaZr4Ir5 at its relaxed geometry at the GGA-PBE level of DFT.

Crystal system: tetragonal
ΔE_f in eV per atom: -0.729

a = 3.322 Å, b = 3.322 Å, c = 17.051 Å
α = 90.00°, β = 90.00°, γ = 90.00°
Fractional positions:
Ca (0.000, 0.000, 0.000)
Zr (0.000, 0.000, 0.207)
Zr (0.000, 0.000, 0.403)
Zr (0.000, 0.000, 0.597)
Zr (0.000, 0.000, 0.793)
Ir (0.500, 0.500, 0.123)
Ir (0.500, 0.500, 0.309)
Ir (0.500, 0.500, 0.500)
Ir (0.500, 0.500, 0.691)
Ir (0.500, 0.500, 0.877)

(2)
Computed, not measured: crystalline CaZr2Ir at its relaxed geometry at the GGA-PBE level of DFT.

Energy above the most stable polymorph in this dataset in eV/atom: 0.016
Crystal system: orthorhombic
ΔE_f in eV per atom: -0.265

a = 3.342 Å, b = 5.191 Å, c = 10.502 Å
α = 90.00°, β = 90.00°, γ = 90.00°
Fractional positions:
Ca (0.000, 0.000, 0.000)
Ca (0.500, 0.500, 0.500)
Zr (0.000, 0.500, 0.205)
Zr (0.000, 0.500, 0.795)
Zr (0.500, 0.000, 0.295)
Zr (0.500, 0.000, 0.705)
Ir (0.000, 0.000, 0.500)
Ir (0.500, 0.500, 0.000)

(3)
Computed, not measured: crystalline CaZrIr3 at its relaxed geometry at the GGA-PBE level of DFT.

Energy above the most stable polymorph in this dataset in eV/atom: 0.000
Crystal system: cubic
ΔE_f in eV per atom: 0.721

a = 4.921 Å, b = 4.921 Å, c = 4.921 Å
α = 90.00°, β = 90.00°, γ = 90.00°
Fractional positions:
Ca (0.000, 0.000, 0.000)
Zr (0.500, 0.500, 0.500)
Ir (0.000, 0.500, 0.500)
Ir (0.500, 0.000, 0.500)
Ir (0.500, 0.500, 0.000)